! PBE Pr3HgSeBr, optimized geometry; values from VASP
&SYSTEM
  ibrav = 0, nat = 12, ntyp = 4
/
ATOMIC_SPECIES
Pr 140.91 Pr.upf
Hg 200.59 Hg.upf
Se 78.96 Se.upf
Br 79.90 Br.upf
CELL_PARAMETERS angstrom
-3.655 0.958 1.903
0.163 -7.124 3.901
5.338 8.451 5.996
ATOMIC_POSITIONS angstrom
Pr -1.841 -5.040 6.056
Pr 3.687 7.325 5.743
Pr 1.923 -0.492 6.292
Pr -0.077 2.777 5.508
Pr -1.789 -1.346 4.297
Pr 3.634 3.632 7.503
Hg 0.644 0.540 3.317
Hg 1.201 1.746 8.483
Se -0.229 -3.874 3.863
Se 2.074 6.159 7.937
Br 2.424 4.467 4.758
Br -0.579 -2.181 7.042
! ΔE_f (raw)	-1101	meV/atom
! calculated volume	30.9	Å³/atom
! E_tot	-52.8	eV per cell